The following is a PBE calculation of an optimized crystal structure of NbFeSbI2, from Alexandria.

Structure (extended XYZ):
```
5
Lattice="-1.5430 -4.9045 1.3851 5.0573 -1.2949 1.0489 -0.5794 1.4912 4.6347" Properties=species:S:1:pos:R:3 pbc="T T T"
I 2.5287 -0.6474 0.5244
I -0.7715 -2.4522 0.6926
Sb -0.2897 0.7456 2.3173
Nb 1.4674 -2.3541 3.5343
Fe 0.0000 0.0000 0.0000
```

Output
For the uncorrected formation energy, the calculation gives 1.007 eV per atom. The energy above the most stable polymorph in this dataset comes out at 107 meV per atom. Its crystal system is tetragonal. The space group is P4/mmm. The calculation puts the theoretical density at 6263 kg/m³.


The following is a PBE calculation of an optimized crystal structure of Sc2PdRu, from Alexandria.

Structure (extended XYZ):
```
4
Lattice="0.8670 7.4544 5.0882 0.8577 5.2580 7.3367 3.5310 5.9666 5.8430" Properties=species:S:1:pos:R:3 pbc="T T T"
Sc 4.7590 16.9140 16.5417
Sc 0.4966 1.7650 1.7261
Ru 2.6278 9.3395 9.1339
Pd 0.0000 0.0000 0.0000
```

Output
Its crystal system is trigonal. The space group is R-3m. The calculation puts the theoretical density at 6497 kg/m³.


The following is a PBE calculation of an optimized crystal structure of Ho3Te2Se, from Alexandria.

Structure (extended XYZ):
```
12
Lattice="6.5082 -0.3299 3.3742 2.4491 6.8496 1.2697 0.3245 -0.1650 7.3378" Properties=species:S:1:pos:R:3 pbc="T T T"
Ho 4.3733 1.2921 4.8032
Ho 6.5776 5.1469 3.4101
Ho 4.9085 5.0626 7.1784
Ho 2.5116 5.2276 3.8380
Ho 6.7703 1.1272 8.1437
Ho 2.3798 1.3729 1.2338
Te 0.0000 0.0000 0.0000
Te 4.4787 3.2599 2.3219
Te 6.8068 3.0949 5.7951
Te 2.4750 3.2599 6.1866
Se 2.2613 -0.1650 3.6020
Se 4.5714 -0.3299 7.1100
```

Output
For the uncorrected formation energy, the calculation gives -1.413 eV per atom. The energy above the most stable polymorph in this dataset comes out at 0 meV per atom. Its crystal system is monoclinic. The space group is C2/m. The calculation puts the theoretical density at 8460 kg/m³.


The following is a PBE calculation of an optimized crystal structure of NpCu4Pt8, from Alexandria.

Structure (extended XYZ):
```
13
Lattice="-2.3206 2.1680 3.9847 2.2970 -2.4188 5.9116 3.2466 5.5726 2.1166" Properties=species:S:1:pos:R:3 pbc="T T T"
Np 0.0000 0.0000 0.0000
Cu 1.6233 2.7863 1.0583
Cu 0.4630 3.8703 3.0506
Cu 1.1485 -1.2094 2.9558
Cu -0.0118 -0.1254 4.9482
Pt 2.9212 2.8342 3.4170
Pt 2.6224 0.3196 4.6112
Pt 2.8488 2.8160 6.6426
Pt 0.3743 2.5058 5.3703
Pt 1.3440 0.4094 7.0756
Pt 1.8791 4.9124 4.9373
Pt 0.5562 1.2992 2.8749
Pt 2.6668 4.0226 9.1380
```

Output
Its crystal system is tetragonal. The space group is I4/mmm. The calculation puts the theoretical density at 16893 kg/m³.


The following is a PBE calculation of an optimized crystal structure of ZnS3Cl, from Alexandria.

Structure (extended XYZ):
```
5
Lattice="4.6785 0.0000 0.0000 0.0000 4.6785 0.0000 0.0000 0.0000 4.6785" Properties=species:S:1:pos:R:3 pbc="T T T"
Zn 0.0000 0.0000 0.0000
S 0.0000 2.3392 0.0000
S 0.0000 0.0000 2.3392
S 2.3392 0.0000 0.0000
Cl 2.3392 2.3392 2.3392
```

Output
For the uncorrected formation energy, the calculation gives 0.785 eV per atom. The energy above the most stable polymorph in this dataset comes out at 1065 meV per atom. Its crystal system is cubic. The space group is Pm-3m. The calculation puts the theoretical density at 3195 kg/m³.


The following is a PBE calculation of an optimized crystal structure of Rb3InSb2, from Alexandria.

Structure (extended XYZ):
```
12
Lattice="5.3230 0.0000 0.0000 2.6615 9.7605 2.2623 2.6615 5.0469 11.6296" Properties=species:S:1:pos:R:3 pbc="T T T"
Rb 2.6615 4.8203 9.6787
Rb 7.9844 9.9870 4.2132
Rb 7.9844 11.5330 12.5134
Rb 2.6615 3.2744 1.3785
Rb 7.9844 10.8628 8.4478
Rb 2.6615 3.9446 5.4441
In 5.3230 7.7961 8.8562
In 5.3229 7.0113 5.0357
Sb 7.9844 8.1647 10.6195
Sb 2.6615 6.6427 3.2724
Sb 5.3229 5.2130 7.3877
Sb 5.3230 9.5944 6.5042
```

Output
For the uncorrected formation energy, the calculation gives -0.293 eV per atom. The energy above the most stable polymorph in this dataset comes out at 120 meV per atom. Its crystal system is monoclinic. The space group is C2/m. The calculation puts the theoretical density at 3757 kg/m³.


The following is a PBE calculation of an optimized crystal structure of K2Na2Gd4Nb2O13, from Alexandria.

Structure (extended XYZ):
```
46
Lattice="-0.4839 -5.3594 11.2875 4.5332 -7.0809 9.2561 5.2547 5.5964 8.2351" Properties=species:S:1:pos:R:3 pbc="T T T"
K 4.6044 0.3227 10.2552
K 4.6996 -7.1666 18.5235
K 7.8597 -4.5512 22.4253
K 1.4444 -2.2927 6.3534
Na 6.3490 -7.6128 21.5059
Na 2.9551 0.7689 7.2728
Na 3.3260 -10.2753 17.5485
Na 5.9780 3.4313 11.2302
Gd 4.3656 -3.0150 12.5993
Gd 6.5268 -0.0568 16.9056
Gd 1.7965 1.1384 4.0479
Gd 4.9384 -3.8290 16.1794
Gd 2.7772 -6.7871 11.8731
Gd 4.5164 -10.6557 20.7606
Gd 4.7876 3.8117 8.0182
Gd 7.5076 -7.9823 24.7308
Nb 6.5807 -4.1175 19.1940
Nb 2.7233 -2.7264 9.5848
Nb 3.6070 -6.7968 15.2167
Nb 5.6971 -0.0471 13.5620
O 4.6332 -5.2654 11.8063
O 6.5885 -5.7483 20.1107
O 3.2672 -3.1047 14.6943
O 4.6040 -2.8454 10.1689
O 4.3556 -7.5801 13.5679
O 2.7155 -1.0956 8.6681
O 4.6708 -1.5785 16.9724
O 5.9954 1.4786 12.5214
O 2.1083 -6.1495 14.0999
O 6.2317 -1.5139 12.2903
O 0.8860 -5.6715 10.9886
O 0.8348 -3.3618 9.2941
O 7.0616 -4.1494 17.2757
O 8.4692 -3.4822 19.4846
O 4.7000 -3.9986 18.6098
O 3.8816 -0.7389 13.2582
O 6.0368 -3.7392 14.0844
O 4.9484 0.7362 15.2108
O 2.2424 -2.6945 11.5031
O 3.1784 -4.1974 8.3616
O 7.1957 -0.6944 14.6788
O 3.0724 -5.3301 16.4884
O 3.3086 -8.3226 16.2573
O 8.4180 -1.1724 17.7901
O 5.4224 -6.1050 15.5205
O 6.1257 -2.6466 20.4172
```

Output
For the uncorrected formation energy, the calculation gives -2.817 eV per atom. Its crystal system is monoclinic. The space group is C2/c. The calculation puts the theoretical density at 5449 kg/m³.


The following is a PBE calculation of an optimized crystal structure of VPBrN, from Alexandria.

Structure (extended XYZ):
```
8
Lattice="-3.5188 -0.4654 0.8280 0.0198 -2.6385 -1.3990 5.4289 -6.4653 12.2702" Properties=species:S:1:pos:R:3 pbc="T T T"
V 2.8658 -4.4465 8.4265
V 0.1613 -2.5331 1.5919
P -0.5349 -2.1385 4.0256
P 2.1894 -6.6903 9.4612
Br -0.3622 -0.3386 0.6335
Br 2.3621 -4.8905 6.0691
N 1.3269 -5.0716 9.5838
N -1.3777 -3.1582 2.7492
```

Output
For the uncorrected formation energy, the calculation gives -0.228 eV per atom. The energy above the most stable polymorph in this dataset comes out at 135 meV per atom. Its crystal system is monoclinic. The space group is Cm. The calculation puts the theoretical density at 3624 kg/m³.


The following is a PBE calculation of an optimized crystal structure of BeAg2Au8, from Alexandria.

Structure (extended XYZ):
```
11
Lattice="4.7387 0.9352 0.7773 1.0493 7.6328 2.5892 1.0493 3.9410 7.0308" Properties=species:S:1:pos:R:3 pbc="T T T"
Be 0.0000 0.0000 0.0000
Ag 3.1606 2.3977 1.9929
Ag 3.6767 10.1114 8.4044
Au 4.6289 4.7739 5.8539
Au 2.2083 5.8810 6.7742
Au 5.1784 3.8761 3.2218
Au 1.6589 8.6329 7.1756
Au 4.6289 6.6280 3.6232
Au 2.2083 7.7352 4.5435
Au 2.4145 4.6884 3.8969
Au 4.4228 7.8207 6.5004
```

Output
Its crystal system is monoclinic. The space group is C2/m. The calculation puts the theoretical density at 15056 kg/m³.


The following is a PBE calculation of an optimized crystal structure of ScCo2Hg, from Alexandria.

Structure (extended XYZ):
```
4
Lattice="-1.9803 -2.4909 3.1605 0.3563 -4.4693 -0.1168 2.4892 -2.1319 3.0617" Properties=species:S:1:pos:R:3 pbc="T T T"
Co 0.0000 0.0000 0.0000
Co 0.2163 -2.2730 1.5264
Hg 0.4326 -4.5460 3.0527
Sc 0.6489 -6.8191 4.5791
```

Output
Its crystal system is cubic. The space group is F-43m. The calculation puts the theoretical density at 9460 kg/m³.


The following is a PBE calculation of an optimized crystal structure of Ho4AlNi2, from Alexandria.

Structure (extended XYZ):
```
7
Lattice="-0.5440 -3.6116 -3.0900 -1.5353 -4.2595 1.5452 -8.5843 -0.2724 -1.8740" Properties=species:S:1:pos:R:3 pbc="T T T"
Ho -9.0384 -5.7975 -2.7433
Ho -4.8418 -7.0479 -2.0205
Ho -1.6253 -2.3459 -0.6755
Ho -5.8218 -1.0955 -1.3982
Al -5.3318 -4.0717 -1.7094
Ni -3.0866 -4.7407 -1.3227
Ni -7.5770 -3.4027 -2.0960
```

Output
Its crystal system is trigonal. The space group is R-3m. The calculation puts the theoretical density at 8072 kg/m³.


The following is a PBE calculation of an optimized crystal structure of KAuBr2, from Alexandria.

Structure (extended XYZ):
```
4
Lattice="7.0053 0.0006 -0.0550 5.6006 4.2079 -0.0550 -0.4180 -0.1395 4.8807" Properties=species:S:1:pos:R:3 pbc="T T T"
Au 2.3713 0.7916 1.7001
Br 0.3364 0.1123 0.2615
Br 9.6113 3.2087 2.5875
K 5.9629 1.9907 2.6069
```

Output
For the uncorrected formation energy, the calculation gives -0.823 eV per atom. The energy above the most stable polymorph in this dataset comes out at 107 meV per atom. Its crystal system is monoclinic. The space group is Cm. The calculation puts the theoretical density at 4573 kg/m³.


The following is a PBE calculation of an optimized crystal structure of LiPmTcO5, from Alexandria.

Structure (extended XYZ):
```
16
Lattice="6.1176 0.9057 -0.1371 -0.9195 6.1155 -0.1371 -2.2957 -3.1009 7.4276" Properties=species:S:1:pos:R:3 pbc="T T T"
Li 0.6342 3.7651 1.7198
Li 2.2681 0.1552 5.4336
Pm -1.1479 -1.5505 3.7138
Pm 0.0000 0.0000 0.0000
Tc 2.8794 2.1029 1.7198
Tc 0.0229 1.8174 5.4336
O -0.8486 4.8629 1.7198
O 3.7510 -0.9426 5.4336
O 4.0188 2.0441 0.3528
O -1.1165 1.8762 6.8005
O 3.2683 1.0303 3.0867
O -0.3660 2.8900 4.0667
O 2.6859 3.7980 2.3006
O 0.2164 0.1223 4.8527
O 1.2017 1.7931 1.1389
O 1.7007 2.1272 6.0144
```

Output
For the uncorrected formation energy, the calculation gives -2.054 eV per atom. Its crystal system is monoclinic. The space group is C2/c. The calculation puts the theoretical density at 3921 kg/m³.


The following is a PBE calculation of an optimized crystal structure of Ac4POsCl2, from Alexandria.

Structure (extended XYZ):
```
8
Lattice="4.3137 0.0000 0.0000 0.0000 7.8266 0.3383 0.0000 -2.5498 7.4955" Properties=species:S:1:pos:R:3 pbc="T T T"
Ac 2.1569 1.4125 1.6595
Ac 2.1569 3.8644 6.1743
Ac 0.0000 0.1645 6.0214
Ac 0.0000 5.1123 1.8123
P 0.0000 0.0000 0.0000
Os 2.1569 3.9133 0.1691
Cl 2.1569 -1.2749 3.7477
Cl 0.0000 2.6384 3.9169
```

Output
For the uncorrected formation energy, the calculation gives -1.173 eV per atom. Its crystal system is monoclinic. The space group is P2/m. The calculation puts the theoretical density at 7761 kg/m³.


The following is a PBE calculation of an optimized crystal structure of InSn4I8, from Alexandria.

Structure (extended XYZ):
```
13
Lattice="9.7160 0.0000 0.0000 4.8580 8.4143 0.0000 4.8580 2.8048 7.9331" Properties=species:S:1:pos:R:3 pbc="T T T"
In 14.5740 8.4143 5.9498
Sn 12.2249 4.1610 2.9423
Sn 9.7160 8.5066 2.9423
Sn 9.7160 5.6095 7.0394
Sn 7.2070 4.1610 2.9423
I 7.0639 1.5312 1.0827
I 4.8580 5.3519 1.0827
I 4.8580 2.8048 4.6850
I 2.6521 1.5312 1.0827
I 7.5780 6.8439 4.8394
I 9.7160 3.1408 4.8394
I 9.7160 5.6095 1.3481
I 11.8540 6.8439 4.8394
```

Output
For the uncorrected formation energy, the calculation gives -0.368 eV per atom. The energy above the most stable polymorph in this dataset comes out at 24 meV per atom. Its crystal system is cubic. The space group is F-43m. The calculation puts the theoretical density at 4109 kg/m³.


The following is a PBE calculation of an optimized crystal structure of Ac2ZrAg, from Alexandria.

Structure (extended XYZ):
```
4
Lattice="3.7827 0.0000 0.0000 0.0000 3.7827 0.0000 0.0000 0.0000 8.9757" Properties=species:S:1:pos:R:3 pbc="T T T"
Ac 0.0000 0.0000 6.8512
Ac 0.0000 0.0000 2.1245
Zr 1.8913 1.8913 4.4879
Ag 1.8913 1.8913 0.0000
```

Output
The energy above the most stable polymorph in this dataset comes out at 0 meV per atom. Its crystal system is tetragonal. The space group is P4/mmm. The calculation puts the theoretical density at 8444 kg/m³.


The following is a PBE calculation of an optimized crystal structure of Ce2MnRh, from Alexandria.

Structure (extended XYZ):
```
4
Lattice="2.9894 0.0000 0.0000 1.4947 2.5889 0.0000 1.4947 0.8630 9.4707" Properties=species:S:1:pos:R:3 pbc="T T T"
Mn 0.0000 0.0000 0.0000
Rh 2.9894 1.7259 4.7354
Ce 1.4947 0.8630 7.1720
Ce 4.4840 2.5889 2.2987
```

Output
Its crystal system is trigonal. The space group is R-3m. The calculation puts the theoretical density at 9925 kg/m³.


The following is a PBE calculation of an optimized crystal structure of NaIn2GaHg6, from Alexandria.

Structure (extended XYZ):
```
10
Lattice="5.8030 -1.1226 0.5724 1.9640 5.5693 0.5100 3.3170 1.8468 7.9307" Properties=species:S:1:pos:R:3 pbc="T T T"
Na 6.0168 3.7874 7.9698
In 5.7279 3.0606 4.6265
In 7.3571 3.9048 1.6637
Ga 8.0375 4.9715 4.6413
Hg 5.3802 1.3739 1.9161
Hg 4.4257 4.8909 2.4391
Hg 2.5604 2.4157 3.1681
Hg 5.6277 6.2095 5.9719
Hg 6.5279 0.8141 6.8161
Hg 8.9478 3.0086 6.6897
```

Output
Its crystal system is triclinic. The space group is P1. The calculation puts the theoretical density at 9823 kg/m³.


The following is a PBE calculation of an optimized crystal structure of Y4Ho5Mg, from Alexandria.

Structure (extended XYZ):
```
10
Lattice="-1.1693 -0.1750 -3.3545 -2.3007 -2.5463 0.9348 -16.7473 16.9503 4.9536" Properties=species:S:1:pos:R:3 pbc="T T T"
Y -3.1880 3.2266 0.9429
Y -6.6465 6.7270 1.9659
Y -10.1009 10.2233 2.9877
Y -13.5594 13.7237 4.0106
Ho -3.2273 0.1497 -0.7685
Ho -6.6545 3.6184 0.2452
Ho -10.1087 7.1145 1.2669
Ho -13.5629 10.6106 2.2886
Ho -16.9901 14.0793 3.3023
Mg 0.0000 0.0000 0.0000
```

Output
The energy above the most stable polymorph in this dataset comes out at 0 meV per atom. Its crystal system is tetragonal. The space group is P4/mmm. The calculation puts the theoretical density at 6497 kg/m³.


The following is a PBE calculation of an optimized crystal structure of SrCuSb, from Alexandria.

Structure (extended XYZ):
```
6
Lattice="-0.1986 -1.0076 -4.4247 1.1575 -3.2004 3.0084 -8.5719 -2.2557 0.8983" Properties=species:S:1:pos:R:3 pbc="T T T"
Sb -1.4097 -3.0261 0.7524
Sb -6.1477 -3.4230 -1.2761
Cu -5.7014 -4.1554 1.2022
Cu -1.8675 -2.2967 -1.7247
Sr -8.5445 -2.2485 0.8955
Sr -4.2586 -1.1206 0.4463
```

Output
For the uncorrected formation energy, the calculation gives -0.710 eV per atom. Its crystal system is hexagonal. The space group is P6_3mc. The calculation puts the theoretical density at 5694 kg/m³.


no.,final energy (eV/atom),M_tot (μB/f.u.)
1,-4.14,5.09
2,-6.98,0.00
3,-5.33,0.00
4,-6.21,2.89
5,-2.32,0.00
6,-2.61,0.00
7,-9.15,28.00
8,-6.36,1.49
9,-3.19,0.00
10,-5.09,2.94
11,-5.07,0.00
12,-2.75,0.00
13,-7.28,1.01
14,-5.77,0.00
15,-2.76,0.00
16,-4.85,0.00
17,-6.93,0.00
18,-1.21,0.00
19,-5.03,0.00
20,-4.01,0.00